# 1
Density functional theory data (PBE) for crystalline PuInH at its relaxed geometry.

a b c (Å): 3.4670 3.4670 5.5019
angles (deg): 90.00 90.00 120.00
Positions (direct):
Pu  0.0000  0.0000  0.0000
In  0.3333  0.6667  0.5007
H  0.6667  0.3333  0.1344

Calculated values
distance to the lowest polymorph of the same formula: 0.000 eV/atom
DFT total energy: -20.7 eV/cell
space group: P3m1, No. 156



# 2
Density functional theory data (PBE) for crystalline LiRuCl2 at its relaxed geometry.

a b c (Å): 3.3503 4.9063 4.5223
angles (deg): 90.00 110.68 90.00
Positions (direct):
Li  0.0000  0.0000  0.0000
Ru  0.2104  0.5000  0.6398
Cl  0.3074  0.0000  0.5988
Cl  0.9245  0.5000  0.0814

Calculated values
distance to the lowest polymorph of the same formula: 0.084 eV/atom
DFT total energy: -16.4 eV/cell
energy relative to the elements, uncorrected: -0.383 eV/atom
space group: Pm, No. 6



# 3
Density functional theory data (PBE) for crystalline CaLaPt2 at its relaxed geometry.

a b c (Å): 5.9312 5.9312 5.9312
angles (deg): 138.70 138.25 60.18
Positions (direct):
Ca  0.0000  0.0000  0.0000
La  0.2519  0.7519  0.5000
Pt  0.5032  0.5032  0.0000
Pt  0.7490  0.2490  0.5000

Calculated values
DFT total energy: -22.4 eV/cell
E_form: -0.86 eV per atom
space group: Imm2, No. 44



# 4
Density functional theory data (PBE) for crystalline TmScAlRe at its relaxed geometry.

a b c (Å): 4.7886 4.7886 4.7886
angles (deg): 60.00 60.00 60.00
Positions (direct):
Tm  0.0000  0.0000  0.0000
Sc  0.5000  0.5000  0.5000
Al  0.2500  0.2500  0.2500
Re  0.7500  0.7500  0.7500

Calculated values
DFT total energy: -27.7 eV/cell
E_form: -0.17 eV per atom
space group: F-43m, No. 216



# 5
Density functional theory data (PBE) for crystalline PuVRu at its relaxed geometry.

a b c (Å): 4.4387 4.4387 2.8442
angles (deg): 90.00 90.00 120.00
Positions (direct):
Pu  0.0000  0.0000  0.0000
V  0.3333  0.6667  0.2391
Ru  0.6667  0.3333  0.6775

Calculated values
distance to the lowest polymorph of the same formula: 0.102 eV/atom
DFT total energy: -32.5 eV/cell
E_form: 0.09 eV per atom
space group: P3m1, No. 156



# 6
Density functional theory data (PBE) for crystalline Mg2SnSb at its relaxed geometry.

a b c (Å): 4.8276 4.8276 4.1652
angles (deg): 90.00 90.00 90.00
Positions (direct):
Mg  0.0000  0.5000  0.0000
Mg  0.5000  0.0000  0.0000
Sn  0.0000  0.0000  0.5000
Sb  0.5000  0.5000  0.5000

Calculated values
distance to the lowest polymorph of the same formula: 0.032 eV/atom
DFT total energy: -11.8 eV/cell
energy relative to the elements, uncorrected: -0.133 eV/atom
space group: P4/mmm, No. 123



# 7
Density functional theory data (PBE) for crystalline Ag5B2F12 at its relaxed geometry.

a b c (Å): 6.5352 6.9305 7.7122
angles (deg): 67.21 73.77 73.50
Positions (direct):
Ag  0.0000  0.0000  0.0000
Ag  0.1719  0.3717  0.1996
Ag  0.4653  0.7786  0.2192
Ag  0.5347  0.2214  0.7808
Ag  0.8281  0.6283  0.8004
B  0.3582  0.7565  0.6563
B  0.6418  0.2435  0.3437
F  0.1386  0.7035  0.1932
F  0.2351  0.8920  0.5164
F  0.2383  0.1301  0.0492
F  0.2493  0.5852  0.7832
F  0.3885  0.8666  0.7650
F  0.4344  0.3356  0.4327
F  0.5656  0.6644  0.5673
F  0.6115  0.1334  0.2350
F  0.7507  0.4148  0.2168
F  0.7617  0.8699  0.9508
F  0.7649  0.1080  0.4836
F  0.8614  0.2965  0.8068

Calculated values
distance to the lowest polymorph of the same formula: 0.000 eV/atom
DFT total energy: -84.9 eV/cell
energy relative to the elements, uncorrected: -1.831 eV/atom
space group: P-1, No. 2



# 8
Density functional theory data (PBE) for crystalline SiAuSe2Br at its relaxed geometry.

a b c (Å): 4.9073 4.9073 4.9027
angles (deg): 90.00 90.00 90.00
Positions (direct):
Si  0.0000  0.0000  0.0000
Au  0.5000  0.5000  0.5000
Se  0.0000  0.5000  0.0000
Se  0.5000  0.0000  0.0000
Br  0.0000  0.0000  0.5000

Calculated values
distance to the lowest polymorph of the same formula: 0.000 eV/atom
DFT total energy: -15.1 eV/cell
energy relative to the elements, uncorrected: 0.458 eV/atom
space group: P4/mmm, No. 123